A plane-wave DFT calculation with PBE-GGA was carried out for a geometry-optimized BaAlZn2Fe structure.

The space group is P4/mmm (No. 123) and the conventional cell measures 4.8561, 4.8561 and 4.6546 Å, with angles of 90.00, 90.00 and 90.00 degrees. Symmetry generates all atoms from Ba at (0.0000, 0.0000, 0.0000), Al at (0.5000, 0.5000, 0.0000), Zn at (0.0000, 0.5000, 0.5000) and Fe at (0.5000, 0.5000, 0.5000).

The calculation puts the calculated total energy at -3.394 eV/atom. The value obtained for the volume is 110 Å³/cell.

=====

A plane-wave DFT calculation with PBE-GGA was carried out for a geometry-optimized BaAl2ZnFe structure.

The space group is P4/mmm (No. 123) and the conventional cell measures 4.6753, 4.6753 and 4.9137 Å, with angles of 90.00, 90.00 and 90.00 degrees. Symmetry generates all atoms from Ba at (0.0000, 0.0000, 0.0000), Al at (0.0000, 0.5000, 0.5000), Zn at (0.5000, 0.5000, 0.0000) and Fe at (0.5000, 0.5000, 0.5000).

The calculation puts the calculated total energy at -3.999 eV/atom. The value obtained for the volume is 107 Å³/cell.

=====

A plane-wave DFT calculation with PBE-GGA was carried out for a geometry-optimized Ba2Al2Ga structure.

The space group is Amm2 (No. 38) and the conventional cell measures 5.1333, 4.4603 and 13.7568 Å, with angles of 90.00, 90.00 and 90.00 degrees. Symmetry generates all atoms from Ba at (0.0000, 0.0000, 0.0000), Ba at (0.0000, 0.0000, 0.2508), Al at (0.5000, 0.0000, 0.6234), Al at (0.5000, 0.0000, 0.8232) and Ga at (0.5000, 0.0000, 0.4267).

As for the energy relative to the lowest polymorph listed for this composition: 1.613 kcal/mol of atoms. The value obtained for the volume is 315 Å³/cell.

=====

Copy entry 3 word for word.
A plane-wave DFT calculation with PBE-GGA was carried out for a geometry-optimized Ba2Al2Ga structure.

The space group is Amm2 (No. 38) and the conventional cell measures 5.1333, 4.4603 and 13.7568 Å, with angles of 90.00, 90.00 and 90.00 degrees. Symmetry generates all atoms from Ba at (0.0000, 0.0000, 0.0000), Ba at (0.0000, 0.0000, 0.2508), Al at (0.5000, 0.0000, 0.6234), Al at (0.5000, 0.0000, 0.8232) and Ga at (0.5000, 0.0000, 0.4267).

As for the energy relative to the lowest polymorph listed for this composition: 1.613 kcal/mol of atoms. The value obtained for the volume is 315 Å³/cell.